# LaY2Ho2Tm2 | Alexandria via LeMat-Bulk | PBE-GGA | optimized geometry
# Formation energy from the elements: 0.102 eV per atom
# M_tot: 0.00 μB per formula unit
data_LaY2Ho2Tm2
_cell_length_a 3.5050
_cell_length_b 6.0770
_cell_length_c 11.7760
_cell_angle_alpha 72.11
_cell_angle_beta 90.00
_cell_angle_gamma 106.76
_symmetry_space_group_name_H-M 'P 1'
_symmetry_Int_Tables_number 1
loop_
_symmetry_equiv_pos_as_xyz
'x,y,z'
loop_
_atom_site_label
_atom_site_type_symbol
_atom_site_fract_x
_atom_site_fract_y
_atom_site_fract_z
_atom_site_occupancy
La1 La 0.0000 0.0000 0.5000 1
Y1 Y 0.4480 0.8960 0.7752 1
Y2 Y 0.5520 0.1040 0.2248 1
Ho1 Ho 0.6710 0.3421 0.9179 1
Ho2 Ho 0.3290 0.6579 0.0821 1
Tm1 Tm 0.7766 0.5531 0.3574 1
Tm2 Tm 0.2234 0.4469 0.6426 1



# K2Se2N | Alexandria via LeMat-Bulk | PBE-GGA | optimized geometry
# Formation energy from raw total energies: -0.33 eV per atom
# Polymorph energy (0 for the lowest one): 0 meV per atom
# M_tot: 1.02 μB per formula unit
data_K2Se2N
_cell_length_a 7.3130
_cell_length_b 7.3130
_cell_length_c 6.9281
_cell_angle_alpha 80.22
_cell_angle_beta 80.22
_cell_angle_gamma 54.86
_symmetry_space_group_name_H-M 'P 1'
_symmetry_Int_Tables_number 1
loop_
_symmetry_equiv_pos_as_xyz
'x,y,z'
loop_
_atom_site_label
_atom_site_type_symbol
_atom_site_fract_x
_atom_site_fract_y
_atom_site_fract_z
_atom_site_occupancy
K1 K 0.8355 0.4075 0.8398 1
K2 K 0.5925 0.1645 0.6602 1
K3 K 0.1645 0.5925 0.1602 1
K4 K 0.4075 0.8355 0.3398 1
Se1 Se 0.6678 0.1134 0.1705 1
Se2 Se 0.8866 0.3322 0.3295 1
Se3 Se 0.3322 0.8866 0.8295 1
Se4 Se 0.1134 0.6678 0.6705 1
N1 N 0.3685 0.6315 0.7500 1
N2 N 0.6315 0.3685 0.2500 1



# Hf6In2Hg | Alexandria via LeMat-Bulk | PBE-GGA | optimized geometry
# Formation energy from the elements: -0.032 eV per atom
# Polymorph energy (0 for the lowest one): 0 meV per atom
# M_tot: 0.00 μB per formula unit
data_Hf6In2Hg
_cell_length_a 3.2135
_cell_length_b 13.2641
_cell_length_c 9.4489
_cell_angle_alpha 90.00
_cell_angle_beta 90.00
_cell_angle_gamma 90.00
_symmetry_space_group_name_H-M 'P 1'
_symmetry_Int_Tables_number 1
loop_
_symmetry_equiv_pos_as_xyz
'x,y,z'
loop_
_atom_site_label
_atom_site_type_symbol
_atom_site_fract_x
_atom_site_fract_y
_atom_site_fract_z
_atom_site_occupancy
Hf1 Hf 0.0000 0.0031 0.1633 1
Hf2 Hf 0.0000 0.6639 0.5143 1
Hf3 Hf 0.0000 0.6637 0.8422 1
Hf4 Hf 0.5000 0.1637 0.6578 1
Hf5 Hf 0.5000 0.1639 0.9857 1
Hf6 Hf 0.5000 0.5031 0.3367 1
Hf7 Hf 0.0000 0.9969 0.8367 1
Hf8 Hf 0.0000 0.3361 0.4857 1
Hf9 Hf 0.0000 0.3363 0.1578 1
Hf10 Hf 0.5000 0.8363 0.3422 1
Hf11 Hf 0.5000 0.8361 0.0143 1
Hf12 Hf 0.5000 0.4969 0.6633 1
In1 In 0.0000 0.3276 0.8210 1
In2 In 0.5000 0.8276 0.6790 1
In3 In 0.5000 0.1724 0.3210 1
In4 In 0.0000 0.6724 0.1790 1
Hg1 Hg 0.5000 0.5000 0.0000 1
Hg2 Hg 0.0000 0.0000 0.5000 1



# LiFe2Cl | Alexandria via LeMat-Bulk | PBE-GGA | optimized geometry
# Formation energy from raw total energies: 0.36 eV per atom
# Polymorph energy (0 for the lowest one): 541 meV per atom
# M_tot: 5.70 μB per formula unit
data_LiFe2Cl
_cell_length_a 2.8087
_cell_length_b 4.2504
_cell_length_c 4.9059
_cell_angle_alpha 90.00
_cell_angle_beta 90.00
_cell_angle_gamma 90.00
_symmetry_space_group_name_H-M 'P 1'
_symmetry_Int_Tables_number 1
loop_
_symmetry_equiv_pos_as_xyz
'x,y,z'
loop_
_atom_site_label
_atom_site_type_symbol
_atom_site_fract_x
_atom_site_fract_y
_atom_site_fract_z
_atom_site_occupancy
Cl1 Cl 0.5000 0.5000 0.7500 1
Fe1 Fe 0.0000 0.0000 0.0104 1
Fe2 Fe 0.0000 0.0000 0.4896 1
Li1 Li 0.5000 0.5000 0.2500 1



# V2SiN | Alexandria via LeMat-Bulk | PBE-GGA | optimized geometry
# Formation energy from raw total energies: -0.71 eV per atom
# Polymorph energy (0 for the lowest one): 0 meV per atom
# M_tot: 0.01 μB per formula unit
data_V2SiN
_cell_length_a 2.8838
_cell_length_b 2.8838
_cell_length_c 6.5401
_cell_angle_alpha 77.26
_cell_angle_beta 77.26
_cell_angle_gamma 60.00
_symmetry_space_group_name_H-M 'P 1'
_symmetry_Int_Tables_number 1
loop_
_symmetry_equiv_pos_as_xyz
'x,y,z'
loop_
_atom_site_label
_atom_site_type_symbol
_atom_site_fract_x
_atom_site_fract_y
_atom_site_fract_z
_atom_site_occupancy
Si1 Si 0.5000 0.5000 0.5000 1
N1 N 0.0000 0.0000 0.0000 1
V1 V 0.7244 0.7244 0.8269 1
V2 V 0.2756 0.2756 0.1731 1



# Li2AgPd2 | Alexandria via LeMat-Bulk | PBE-GGA | optimized geometry
# Formation energy from the elements: -0.063 eV per atom
# Polymorph energy (0 for the lowest one): 214 meV per atom
# M_tot: 0.00 μB per formula unit
data_Li2AgPd2
_cell_length_a 4.3616
_cell_length_b 4.3616
_cell_length_c 5.1347
_cell_angle_alpha 89.98
_cell_angle_beta 89.98
_cell_angle_gamma 115.69
_symmetry_space_group_name_H-M 'P 1'
_symmetry_Int_Tables_number 1
loop_
_symmetry_equiv_pos_as_xyz
'x,y,z'
loop_
_atom_site_label
_atom_site_type_symbol
_atom_site_fract_x
_atom_site_fract_y
_atom_site_fract_z
_atom_site_occupancy
Li1 Li 0.5005 0.5005 0.7355 1
Li2 Li 0.4995 0.4995 0.2645 1
Ag1 Ag 0.0000 0.0000 0.0000 1
Pd1 Pd 0.1719 0.8281 0.5000 1
Pd2 Pd 0.8281 0.1719 0.5000 1



# LiSn2Ru2 | Alexandria via LeMat-Bulk | PBE-GGA | optimized geometry
# Formation energy from the elements: -0.148 eV per atom
# Polymorph energy (0 for the lowest one): 0 meV per atom
# M_tot: 0.00 μB per formula unit
data_LiSn2Ru2
_cell_length_a 7.5431
_cell_length_b 7.5431
_cell_length_c 3.2024
_cell_angle_alpha 90.00
_cell_angle_beta 90.00
_cell_angle_gamma 90.00
_symmetry_space_group_name_H-M 'P 1'
_symmetry_Int_Tables_number 1
loop_
_symmetry_equiv_pos_as_xyz
'x,y,z'
loop_
_atom_site_label
_atom_site_type_symbol
_atom_site_fract_x
_atom_site_fract_y
_atom_site_fract_z
_atom_site_occupancy
Ru1 Ru 0.3605 0.8605 0.0000 1
Ru2 Ru 0.8605 0.6395 0.0000 1
Ru3 Ru 0.6395 0.1395 0.0000 1
Ru4 Ru 0.1395 0.3605 0.0000 1
Sn1 Sn 0.1578 0.6578 0.5000 1
Sn2 Sn 0.6578 0.8422 0.5000 1
Sn3 Sn 0.8422 0.3422 0.5000 1
Sn4 Sn 0.3422 0.1578 0.5000 1
Li1 Li 0.0000 0.0000 0.0000 1
Li2 Li 0.5000 0.5000 0.0000 1



# La2MgNb | Alexandria via LeMat-Bulk | PBE-GGA | optimized geometry
# Formation energy from the elements: 0.504 eV per atom
# M_tot: 0.00 μB per formula unit
data_La2MgNb
_cell_length_a 3.2111
_cell_length_b 3.2111
_cell_length_c 12.2046
_cell_angle_alpha 82.44
_cell_angle_beta 82.44
_cell_angle_gamma 60.00
_symmetry_space_group_name_H-M 'P 1'
_symmetry_Int_Tables_number 1
loop_
_symmetry_equiv_pos_as_xyz
'x,y,z'
loop_
_atom_site_label
_atom_site_type_symbol
_atom_site_fract_x
_atom_site_fract_y
_atom_site_fract_z
_atom_site_occupancy
Nb1 Nb 0.0000 0.0000 0.0000 1
Mg1 Mg 0.5000 0.5000 0.5000 1
La1 La 0.0807 0.0807 0.7578 1
La2 La 0.9193 0.9193 0.2422 1



# NaCa2Tl6 | Alexandria via LeMat-Bulk | PBE-GGA | optimized geometry
# Formation energy from the elements: -0.178 eV per atom
# Polymorph energy (0 for the lowest one): 31 meV per atom
# M_tot: 0.00 μB per formula unit
data_NaCa2Tl6
_cell_length_a 3.5804
_cell_length_b 9.2281
_cell_length_c 11.7202
_cell_angle_alpha 113.18
_cell_angle_beta 127.51
_cell_angle_gamma 90.00
_symmetry_space_group_name_H-M 'P 1'
_symmetry_Int_Tables_number 1
loop_
_symmetry_equiv_pos_as_xyz
'x,y,z'
loop_
_atom_site_label
_atom_site_type_symbol
_atom_site_fract_x
_atom_site_fract_y
_atom_site_fract_z
_atom_site_occupancy
Na1 Na 0.0000 0.0000 0.0000 1
Ca1 Ca 0.6646 0.6663 0.3325 1
Ca2 Ca 0.3354 0.3337 0.6675 1
Tl1 Tl 0.1503 0.3338 0.3333 1
Tl2 Tl 0.8497 0.0005 0.6667 1
Tl3 Tl 0.8497 0.6662 0.6667 1
Tl4 Tl 0.5000 0.3322 0.0000 1
Tl5 Tl 0.1503 0.9995 0.3333 1
Tl6 Tl 0.5000 0.6678 0.0000 1



# CaCeNdMg | Alexandria via LeMat-Bulk | PBE-GGA | optimized geometry
# Formation energy from the elements: 0.146 eV per atom
# M_tot: 0.89 μB per formula unit
data_CaCeNdMg
_cell_length_a 5.6836
_cell_length_b 5.6836
_cell_length_c 5.6836
_cell_angle_alpha 60.00
_cell_angle_beta 60.00
_cell_angle_gamma 60.00
_symmetry_space_group_name_H-M 'P 1'
_symmetry_Int_Tables_number 1
loop_
_symmetry_equiv_pos_as_xyz
'x,y,z'
loop_
_atom_site_label
_atom_site_type_symbol
_atom_site_fract_x
_atom_site_fract_y
_atom_site_fract_z
_atom_site_occupancy
Ca1 Ca 0.5000 0.5000 0.5000 1
Nd1 Nd 0.7500 0.7500 0.7500 1
Mg1 Mg 0.0000 0.0000 0.0000 1
Ce1 Ce 0.2500 0.2500 0.2500 1



# LaNdSm2In | Alexandria via LeMat-Bulk | PBE-GGA | optimized geometry
# Formation energy from the elements: 0.033 eV per atom
# M_tot: 0.00 μB per formula unit
data_LaNdSm2In
_cell_length_a 6.7060
_cell_length_b 6.6550
_cell_length_c 8.4044
_cell_angle_alpha 113.32
_cell_angle_beta 90.00
_cell_angle_gamma 90.00
_symmetry_space_group_name_H-M 'P 1'
_symmetry_Int_Tables_number 1
loop_
_symmetry_equiv_pos_as_xyz
'x,y,z'
loop_
_atom_site_label
_atom_site_type_symbol
_atom_site_fract_x
_atom_site_fract_y
_atom_site_fract_z
_atom_site_occupancy
La1 La 0.7500 0.7478 0.4957 1
La2 La 0.2500 0.2522 0.5043 1
Nd1 Nd 0.2500 0.8440 0.6880 1
Nd2 Nd 0.7500 0.1560 0.3120 1
Sm1 Sm 0.5000 0.2581 0.0000 1
Sm2 Sm 0.0000 0.7419 0.0000 1
Sm3 Sm 0.5000 0.7419 0.0000 1
Sm4 Sm 0.0000 0.2581 0.0000 1
In1 In 0.2500 0.6481 0.2961 1
In2 In 0.7500 0.3519 0.7039 1



# Dy6Hg5Bi | Alexandria via LeMat-Bulk | PBE-GGA | optimized geometry
# Formation energy from the elements: -0.498 eV per atom
# M_tot: 1.02 μB per formula unit
data_Dy6Hg5Bi
_cell_length_a 5.3194
_cell_length_b 7.4211
_cell_length_c 9.1891
_cell_angle_alpha 113.81
_cell_angle_beta 106.64
_cell_angle_gamma 90.00
_symmetry_space_group_name_H-M 'P 1'
_symmetry_Int_Tables_number 1
loop_
_symmetry_equiv_pos_as_xyz
'x,y,z'
loop_
_atom_site_label
_atom_site_type_symbol
_atom_site_fract_x
_atom_site_fract_y
_atom_site_fract_z
_atom_site_occupancy
Bi1 Bi 0.0000 0.0000 0.0000 1
Hg1 Hg 0.6728 0.1731 0.3463 1
Hg2 Hg 0.3324 0.3332 0.6663 1
Hg3 Hg 0.0000 0.5000 0.0000 1
Hg4 Hg 0.6676 0.6668 0.3337 1
Hg5 Hg 0.3272 0.8269 0.6537 1
Dy1 Dy 0.8308 0.5790 0.6622 1
Dy2 Dy 0.8309 0.0832 0.6622 1
Dy3 Dy 0.4999 0.7442 0.0000 1
Dy4 Dy 0.5001 0.2558 0.0000 1
Dy5 Dy 0.1691 0.9168 0.3378 1
Dy6 Dy 0.1692 0.4210 0.3378 1



| no. | calculated total energy (eV for the cell shown) |
| --- | --- |
| 1 | -35.24 |
| 2 | -38.29 |
| 3 | -131.57 |
| 4 | -19.25 |
| 5 | -34.83 |
| 6 | -17.38 |
| 7 | -58.42 |
| 8 | -19.50 |
| 9 | -21.12 |
| 10 | -13.71 |
| 11 | -43.42 |
| 12 | -38.98 |